No. 1
Material: Al2CuNi
Method: DFT, GGA-PBEsol
State: optimized geometry

Unit cell a=8.792 b=2.895 c=4.119 alpha=90.00 beta=108.87 gamma=90.00
Space group Cm (No. 8)
One atom of each set of equivalent atoms:
Al 0.000 0.000 0.000
Al 0.230 0.000 0.652
Cu 0.481 0.000 0.484
Ni 0.238 0.500 0.150

density = 5.90 g/cm3
formation energy from the elements = -1.6 eV per formula unit
uncorrected energy = -40.5 eV/cell



No. 2
Material: AlCu5Ni2
Method: DFT, GGA-PBEsol
State: optimized geometry

Unit cell a=5.051 b=10.084 c=3.526 alpha=90.00 beta=90.00 gamma=90.00
Space group Pbam (No. 55)
One atom of each set of equivalent atoms:
Al 0.000 0.000 0.000
Cu 0.000 0.500 0.000
Cu 0.015 0.251 0.000
Cu 0.236 0.629 0.500
Ni 0.237 0.878 0.500

density = 8.55 g/cm3
formation energy from the elements = -1.3 eV per formula unit
uncorrected energy = -78.8 eV/cell



No. 3
Material: Al2CuNi
Method: DFT, GGA-PBEsol
State: optimized geometry

Unit cell a=2.896 b=2.896 c=5.830 alpha=90.00 beta=90.00 gamma=90.00
Space group P4/mmm (No. 123)
One atom of each set of equivalent atoms:
Al 0.000 0.000 0.240
Cu 0.500 0.500 0.500
Ni 0.500 0.500 0.000

density = 5.98 g/cm3
formation energy from the elements = -1.8 eV per formula unit
uncorrected energy = -20.5 eV/cell



No. 4
Material: AlCuNi2
Method: DFT, GGA-PBEsol
State: optimized geometry

Unit cell a=2.598 b=3.457 c=5.020 alpha=90.00 beta=90.00 gamma=90.00
Space group Pmm2 (No. 25)
One atom of each set of equivalent atoms:
Al 0.000 0.000 0.000
Cu 0.500 0.500 0.270
Ni 0.000 0.000 0.507
Ni 0.500 0.500 0.762

density = 7.66 g/cm3
formation energy from the elements = -1.1 eV per formula unit
uncorrected energy = -21.8 eV/cell



No. 5
Material: AlCuNi2
Method: DFT, GGA-PBEsol
State: optimized geometry

Unit cell a=3.557 b=3.557 c=7.083 alpha=90.00 beta=90.00 gamma=90.00
Space group I-4m2 (No. 119)
One atom of each set of equivalent atoms:
Al 0.000 0.000 0.000
Cu 0.000 0.500 0.250
Ni 0.000 0.000 0.500
Ni 0.000 0.500 0.750

density = 7.71 g/cm3
formation energy from the elements = -1.4 eV per formula unit
uncorrected energy = -44.2 eV/cell



No. 6
Material: Al2Cu2Ni
Method: DFT, GGA-PBEsol
State: optimized geometry

Unit cell a=8.552 b=4.617 c=6.715 alpha=90.00 beta=114.02 gamma=90.00
Space group C2/c (No. 15)
One atom of each set of equivalent atoms:
Al 0.187 0.144 0.142
Cu 0.102 0.347 0.451
Ni 0.000 0.165 0.750

density = 6.58 g/cm3
energy relative to the lowest polymorph listed for this composition = 0.000 eV/atom
formation energy from the elements = -1.7 eV per formula unit
uncorrected energy = -98.8 eV/cell



No. 7
Material: Al2Cu2Ni
Method: DFT, GGA-PBEsol
State: optimized geometry

Unit cell a=4.030 b=11.515 c=2.719 alpha=90.00 beta=90.00 gamma=90.00
Space group Cmmm (No. 65)
One atom of each set of equivalent atoms:
Al 0.000 0.121 0.000
Cu 0.000 0.316 0.500
Ni 0.000 0.500 0.000

density = 6.31 g/cm3
energy relative to the lowest polymorph listed for this composition = 0.110 eV/atom
formation energy from the elements = -1.2 eV per formula unit
uncorrected energy = -48.3 eV/cell



No. 8
Material: Al2CuNi
Method: DFT, GGA-PBEsol
State: optimized geometry

Unit cell a=2.6992 b=2.6992 c=8.3136 alpha=90.00 beta=90.00 gamma=120.00
Space group P3m1 (No. 156)
One atom of each set of equivalent atoms:
Al 0.0000 0.0000 0.0000
Al 0.3333 0.6667 0.4945
Cu 0.6667 0.3333 0.2447
Ni 0.0000 0.0000 0.7176

density = 5.58 g/cm3
formation energy from the elements = -0.3 eV per formula unit
uncorrected energy = -19.0 eV/cell